# 1
NaZr2HgO after structural relaxation, computed with PBE.

density	7.71	g cm⁻³
formation energy from raw total energies	-959	meV per atom
crystal system	tetragonal
Fermi-level density of states	0.769	states/eV per atom
symmetry	P4/mmm (123)

abc: 4.459 4.459 4.571
angles: 90.00 90.00 90.00
Positions (direct):
O 0.000 0.000 0.000
Na 0.000 0.000 0.500
Hg 0.500 0.500 0.500
Zr 0.000 0.500 0.000
Zr 0.500 0.000 0.000

---

# 2
PrHgGe after structural relaxation, computed with PBE.

density	8.66	g cm⁻³
crystal system	tetragonal
DFT formation energy	-0.82	eV per formula unit
Fermi-level density of states	0.954	states/eV per atom
symmetry	I4mm (107)

abc: 4.179 4.179 5.423
angles: 112.66 112.66 90.00
Positions (direct):
Pr 0.611 0.611 0.222
Ge 0.960 0.960 0.921
Hg 0.279 0.279 0.557

---

# 3
AcLaPrSm2 after structural relaxation, computed with PBE.

density	7.16	g cm⁻³
crystal system	monoclinic
DFT formation energy	0.20	eV per formula unit
Fermi-level density of states	1.704	states/eV per atom
symmetry	P2_1/m (11)

abc: 6.043 6.556 10.000
angles: 71.06 90.00 90.00
Positions (direct):
Ac 0.750 0.565 0.198
Ac 0.250 0.435 0.802
La 0.750 0.359 0.598
La 0.250 0.641 0.402
Pr 0.250 0.837 0.997
Pr 0.750 0.163 0.003
Sm 0.750 0.775 0.794
Sm 0.250 0.225 0.206
Sm 0.250 0.035 0.597
Sm 0.750 0.965 0.403

---

# 4
Ca2CuS2O2 after structural relaxation, computed with PBE.

density	3.44	g cm⁻³
formation energy from raw total energies	-1592	meV per atom
crystal system	tetragonal
Fermi-level density of states	0.505	states/eV per atom
symmetry	P4/mmm (123)

abc: 3.868 3.868 7.747
angles: 90.00 90.00 90.00
Positions (direct):
Ca 0.500 0.500 0.706
Ca 0.500 0.500 0.294
Cu 0.000 0.000 0.500
S 0.000 0.000 0.862
S 0.000 0.000 0.138
O 0.000 0.500 0.500
O 0.500 0.000 0.500

---

# 5
YTaVRu2 after structural relaxation, computed with PBE.

density	8.26	g cm⁻³
crystal system	tetragonal
DFT formation energy	3.68	eV per formula unit
Fermi-level density of states	1.033	states/eV per atom
symmetry	P4/mmm (123)

abc: 4.780 4.602 4.780
angles: 90.00 90.00 90.00
Positions (direct):
Y 0.500 0.500 0.500
Ru 0.000 0.000 0.500
Ru 0.500 0.000 0.000
V 0.000 0.500 0.000
Ta 0.000 0.000 0.000

---

# 6
CuTeRh2 after structural relaxation, computed with PBE.

density	10.36	g cm⁻³
formation energy from raw total energies	21	meV per atom
crystal system	monoclinic
Fermi-level density of states	0.842	states/eV per atom
symmetry	Cm (8)

abc: 4.859 4.859 4.346
angles: 74.90 74.90 40.21
Positions (direct):
Cu 0.746 0.746 0.808
Rh 0.009 0.009 0.932
Rh 0.241 0.241 0.303
Te 0.504 0.504 0.457

---

# 7
HfGaTe2 after structural relaxation, computed with PBE.

density	5.50	g cm⁻³
formation energy from raw total energies	-107	meV per atom
crystal system	tetragonal
Fermi-level density of states	1.058	states/eV per atom
symmetry	I-42d (122)

abc: 7.167 7.167 7.794
angles: 62.63 62.63 90.00
Site moments in Bohr magnetons follow the coordinates.
Positions (direct):
Te 0.662 0.125 0.250  -0.01
Te 0.088 0.625 0.250  -0.02
Te 0.375 0.338 0.750  -0.02
Te 0.875 0.912 0.750  -0.02
Hf 0.000 0.000 0.000  0.47
Hf 0.750 0.250 0.500  0.47
Ga 0.500 0.500 0.000  0.02
Ga 0.250 0.750 0.500  0.02

---

# 8
BCS after structural relaxation, computed with PBE.

density	1.45	g cm⁻³
formation energy from raw total energies	930	meV per atom
relative energy among the computed polymorphs	772	meV per atom
crystal system	orthorhombic
Fermi-level density of states	0.324	states/eV per atom
symmetry	Fmmm (69)

abc: 4.698 7.120 4.698
angles: 64.10 108.90 115.90
Site moments in Bohr magnetons follow the coordinates.
Positions (direct):
B 0.448 0.000 0.552  -0.05
B 0.784 0.000 0.216  -0.05
S 0.492 0.753 0.508  0.11
S 0.740 0.247 0.260  0.11
C 0.116 0.000 0.384  0.46
C 0.616 0.000 0.884  0.46

---

# 9
CaSnMoOs2 after structural relaxation, computed with PBE.

density	9.81	g cm⁻³
crystal system	tetragonal
DFT formation energy	14.22	eV per formula unit
Fermi-level density of states	1.954	states/eV per atom
symmetry	P4/mmm (123)

abc: 4.606 5.069 4.606
angles: 90.00 90.00 90.00
Positions (direct):
Mo 0.500 0.500 0.500
Ca 0.000 0.000 0.000
Os 0.000 0.000 0.500
Os 0.500 0.000 0.000
Sn 0.000 0.500 0.000

---

# 10
TaP3 after structural relaxation, computed with PBE.

density	7.51	g cm⁻³
crystal system	trigonal
DFT formation energy	-0.26	eV per formula unit
Fermi-level density of states	0.567	states/eV per atom
symmetry	R-3m (166)

abc: 6.804 6.804 6.804
angles: 27.81 27.81 27.81
Positions (direct):
P 0.757 0.757 0.757
P 0.500 0.500 0.500
P 0.243 0.243 0.243
Ta 0.000 0.000 0.000

---

# 11
ZrMnCu2 after structural relaxation, computed with PBE.

density	7.45	g cm⁻³
crystal system	tetragonal
DFT formation energy	0.03	eV per formula unit
Fermi-level density of states	0.623	states/eV per atom
symmetry	P4mm (99)

abc: 3.188 3.188 5.994
angles: 90.00 90.00 90.00
Site moments in Bohr magnetons follow the coordinates.
Positions (direct):
Cu 0.000 0.000 0.037  0.00
Cu 0.500 0.500 0.245  0.08
Mn 0.000 0.000 0.464  3.20
Zr 0.500 0.500 0.754  -0.39

---

# 12
Na4SbPb after structural relaxation, computed with PBE.

density	4.10	g cm⁻³
formation energy from raw total energies	-240	meV per atom
crystal system	monoclinic
Fermi-level density of states	0.423	states/eV per atom
symmetry	C2/m (12)

abc: 5.986 5.986 10.550
angles: 101.47 101.46 106.92
Positions (direct):
Na 0.658 0.184 0.843
Na 0.816 0.342 0.157
Na 0.342 0.816 0.157
Na 0.184 0.658 0.843
Na 0.075 0.075 0.664
Na 0.412 0.412 0.336
Na 0.925 0.925 0.336
Na 0.588 0.588 0.664
Sb 0.788 0.788 0.000
Sb 0.212 0.212 0.000
Pb 0.500 0.000 0.500
Pb 0.000 0.500 0.500

---

# 13
KSnI2O after structural relaxation, computed with PBE.

density	4.29	g cm⁻³
formation energy from raw total energies	-945	meV per atom
relative energy among the computed polymorphs	0	meV per atom
crystal system	tetragonal
Fermi-level density of states	0.205	states/eV per atom
symmetry	P4/mmm (123)

abc: 6.330 6.330 4.129
angles: 90.00 90.00 90.00
Positions (direct):
I 0.000 0.500 0.000
I 0.500 0.000 0.000
K 0.500 0.500 0.500
Sn 0.000 0.000 0.000
O 0.000 0.000 0.500

---

# 14
Dy6Co2Ru after structural relaxation, computed with PBE.

density	9.51	g cm⁻³
relative energy among the computed polymorphs	0	meV per atom
crystal system	orthorhombic
DFT formation energy	-1.97	eV per formula unit
Fermi-level density of states	0.925	states/eV per atom
symmetry	Immm (71)

abc: 8.152 8.152 8.152
angles: 108.41 110.07 109.94
Positions (direct):
Dy 0.566 0.741 0.824
Dy 0.434 0.259 0.176
Dy 0.083 0.259 0.824
Dy 0.917 0.741 0.176
Dy 0.814 0.737 0.551
Dy 0.186 0.263 0.449
Dy 0.186 0.737 0.923
Dy 0.814 0.263 0.077
Dy 0.685 0.357 0.672
Dy 0.315 0.643 0.328
Dy 0.315 0.987 0.672
Dy 0.685 0.013 0.328
Co 0.500 0.386 0.886
Co 0.500 0.614 0.114
Co 0.665 0.000 0.665
Co 0.335 0.000 0.335
Ru 0.000 0.500 0.500
Ru 0.000 0.000 0.000

---

# 15
PaZnBiAu after structural relaxation, computed with PBE.

density	12.60	g cm⁻³
crystal system	cubic
DFT formation energy	-0.21	eV per formula unit
Fermi-level density of states	1.405	states/eV per atom
symmetry	F-43m (216)

abc: 5.077 5.077 5.077
angles: 60.00 60.00 60.00
Site moments in Bohr magnetons follow the coordinates.
Positions (direct):
Zn 0.000 0.000 0.000  0.01
Pa 0.750 0.750 0.750  0.67
Au 0.500 0.500 0.500  -0.01
Bi 0.250 0.250 0.250  -0.01

---

# 16
La2YCl after structural relaxation, computed with PBE.

density	5.21	g cm⁻³
formation energy from raw total energies	-609	meV per atom
relative energy among the computed polymorphs	70	meV per atom
crystal system	orthorhombic
Fermi-level density of states	1.427	states/eV per atom
symmetry	Cmmm (65)

abc: 3.648 3.648 10.613
angles: 90.00 90.00 114.72
Site moments in Bohr magnetons follow the coordinates.
Positions (direct):
Cl 0.500 0.500 0.750  0.00
La 0.000 0.000 0.974  0.06
La 0.000 0.000 0.526  0.06
Y 0.500 0.500 0.250  0.17

---

# 17
CaZrSe2 after structural relaxation, computed with PBE.

density	5.17	g cm⁻³
formation energy from raw total energies	-1405	meV per atom
relative energy among the computed polymorphs	83	meV per atom
crystal system	orthorhombic
Fermi-level density of states	0.516	states/eV per atom
symmetry	Imm2 (44)

abc: 7.312 7.312 7.312
angles: 150.92 150.66 41.78
Site moments in Bohr magnetons follow the coordinates.
Positions (direct):
Ca 0.291 0.791 0.500  0.01
Se 0.965 0.965 0.000  0.00
Se 0.697 0.197 0.500  0.00
Zr 0.547 0.547 0.000  0.11

---

# 18
ScBe9Cr2 after structural relaxation, computed with PBE.

density	3.37	g cm⁻³
crystal system	hexagonal
DFT formation energy	-2.33	eV per formula unit
Fermi-level density of states	0.206	states/eV per atom
symmetry	P6_3/mmc (194)

abc: 4.330 4.330 13.979
angles: 90.00 90.00 120.00
Positions (direct):
Sc 0.333 0.667 0.750
Sc 0.667 0.333 0.250
Be 0.000 0.000 0.000
Be 0.000 0.000 0.500
Be 0.000 0.000 0.250
Be 0.000 0.000 0.750
Be 0.333 0.667 0.250
Be 0.667 0.333 0.750
Be 0.170 0.339 0.121
Be 0.661 0.830 0.121
Be 0.170 0.830 0.121
Be 0.830 0.661 0.621
Be 0.339 0.170 0.621
Be 0.830 0.170 0.621
Be 0.339 0.170 0.879
Be 0.830 0.661 0.879
Be 0.830 0.170 0.879
Be 0.661 0.830 0.379
Be 0.170 0.339 0.379
Be 0.170 0.830 0.379
Cr 0.333 0.667 0.527
Cr 0.667 0.333 0.027
Cr 0.667 0.333 0.473
Cr 0.333 0.667 0.973

---

# 19
CrCuAs2 after structural relaxation, computed with PBE.

density	5.28	g cm⁻³
crystal system	tetragonal
DFT formation energy	1.11	eV per formula unit
Fermi-level density of states	0.909	states/eV per atom
symmetry	I-42d (122)

abc: 5.622 5.622 6.609
angles: 64.82 64.82 90.00
Site moments in Bohr magnetons follow the coordinates.
Positions (direct):
Cr 0.500 0.500 0.000  1.99
Cr 0.250 0.750 0.500  1.99
As 0.618 0.125 0.250  -0.18
As 0.132 0.625 0.250  -0.17
As 0.375 0.382 0.750  -0.19
As 0.875 0.868 0.750  -0.18
Cu 0.000 0.000 0.000  -0.10
Cu 0.750 0.250 0.500  -0.11

---

# 20
Ac2NdCo6 after structural relaxation, computed with PBE.

density	8.78	g cm⁻³
crystal system	hexagonal
DFT formation energy	-0.05	eV per formula unit
Fermi-level density of states	1.059	states/eV per atom
symmetry	P6/mmm (191)

abc: 4.388 6.883 6.883
angles: 120.00 90.00 90.00
Site moments in Bohr magnetons follow the coordinates.
Positions (direct):
Ac 0.000 0.333 0.667  -0.09
Ac 0.000 0.667 0.333  -0.09
Nd 0.000 0.000 0.000  -0.12
Co 0.500 0.331 0.331  0.96
Co 0.500 0.669 0.669  0.96
Co 0.500 0.000 0.669  0.96
Co 0.500 0.669 0.000  0.96
Co 0.500 0.331 0.000  0.96
Co 0.500 0.000 0.331  0.96